1.
CaTaTiCo2 | PBE | relaxed

Lattice parameters (Å, degrees): 4.3324 4.3324 4.4956 90.00 90.00 90.00
Space group P4/mmm (No. 123)
Inequivalent atoms, fractional coordinates:
Ca 0.0000 0.0000 0.0000
Ta 0.5000 0.5000 0.5000
Ti 0.0000 0.0000 0.5000
Co 0.0000 0.5000 0.0000

Values from the calculation:
DFT total energy = -5.45 eV per atom
energy relative to the elements = 1743 meV per atom
spin magnetization = 1.58 μB/cell
density = 7.6 g cm⁻³

2.
CaTb3Co | PBE | relaxed

Lattice parameters (Å, degrees): 14.1741 3.6829 11.3491 90.00 94.26 90.00
Space group C2/m (No. 12)
Inequivalent atoms, fractional coordinates:
Ca 0.1593 0.0000 0.0945
Tb 0.0650 0.0000 0.3873
Tb 0.0691 0.5000 0.8221
Tb 0.2155 0.0000 0.6402
Co 0.0813 0.5000 0.5811

Values from the calculation:
DFT total energy = -4.65 eV per atom
energy relative to the elements = -51 meV per atom
spin magnetization = 0.00 μB/cell
density = 6.5 g cm⁻³
energy relative to the lowest polymorph listed for this composition = 0 meV/atom

3.
CaTb3Co | PBE | relaxed

Lattice parameters (Å, degrees): 5.3467 5.3467 5.3467 90.00 90.00 90.00
Space group Pm-3m (No. 221)
Inequivalent atoms, fractional coordinates:
Ca 0.0000 0.0000 0.0000
Tb 0.0000 0.5000 0.5000
Co 0.5000 0.5000 0.5000

Values from the calculation:
DFT total energy = -4.64 eV per atom
energy relative to the elements = -41 meV per atom
spin magnetization = 0.00 μB/cell
density = 6.3 g cm⁻³
energy relative to the lowest polymorph listed for this composition = 11 meV/atom

4.
CaTb2Co9 | PBE | relaxed

Lattice parameters (Å, degrees): 5.0274 5.0274 24.1485 90.00 90.00 120.00
Space group R-3m (No. 166, hexagonal axes)
Inequivalent atoms, fractional coordinates:
Ca 0.0000 0.0000 0.0000
Tb 0.0000 0.0000 0.1391
Co 0.0000 0.0000 0.3348
Co 0.0000 0.0000 0.5000
Co 0.0028 0.5014 0.9185

Values from the calculation:
DFT total energy = -6.34 eV per atom
energy relative to the elements = -75 meV per atom
spin magnetization = 34.18 μB/cell
density = 8.4 g cm⁻³

5.
CaTb2Co | PBE | relaxed

Lattice parameters (Å, degrees): 13.5159 3.6941 9.0556 90.00 91.23 90.00
Space group C2/m (No. 12)
Inequivalent atoms, fractional coordinates:
Ca 0.1298 0.0000 0.4704
Tb 0.0324 0.5000 0.8254
Tb 0.2319 0.5000 0.1526
Co 0.1004 0.0000 0.0324

Values from the calculation:
DFT total energy = -4.69 eV per atom
energy relative to the elements = -101 meV per atom
spin magnetization = 0.00 μB/cell
density = 6.1 g cm⁻³
energy relative to the lowest polymorph listed for this composition = 0 meV/atom

6.
CaTb2Co | PBE | relaxed

Lattice parameters (Å, degrees): 3.4255 3.4255 9.4720 90.00 90.00 90.00
Space group P4/mmm (No. 123)
Inequivalent atoms, fractional coordinates:
Ca 0.0000 0.0000 0.0000
Tb 0.5000 0.5000 0.3305
Co 0.0000 0.0000 0.5000

Values from the calculation:
DFT total energy = -4.63 eV per atom
energy relative to the elements = -38 meV per atom
spin magnetization = 0.59 μB/cell
density = 6.2 g cm⁻³
energy relative to the lowest polymorph listed for this composition = 63 meV/atom